11
Lattice="5.8365 -8.0803 0.0000 5.8365 8.0803 0.0000 0.0000 0.0000 10.8014" Properties=species:S:1:pos:R:3 comment="Cs7Rb2Cd2 PBE optimized geometry" crystal_system=orthorhombic dos_at_fermi_per_ev_fu=10.83 delta_e_f_mev_per_atom=44.1 pbc="T T T"
Cs 2.9183 4.0402 2.7755
Cs 2.9183 -4.0402 8.0258
Cs 2.9183 4.0402 8.0258
Cs 2.9183 -4.0402 2.7755
Cs 0.0000 0.0000 5.4007
Cs 5.8365 0.0000 7.6631
Cs 5.8365 0.0000 3.1383
Rb 2.1320 0.0000 0.0000
Rb 9.5410 0.0000 0.0000
Cd 5.8365 3.4618 5.4007
Cd 5.8365 -3.4618 5.4007